Record 1
# PBE LaPu2CuN4, optimized geometry
data_LaPu2CuN4
_cell_length_a 3.5039
_cell_length_b 11.3959
_cell_length_c 11.5074
_cell_angle_alpha 90.00
_cell_angle_beta 90.00
_cell_angle_gamma 90.00
_space_group_name_H-M_alt 'C m c m'
_space_group_IT_number 63
_space_group_name_Hall '-C 2c 2'
loop_
_atom_site_label
_atom_site_type_symbol
_atom_site_fract_x
_atom_site_fract_y
_atom_site_fract_z
La1 La 0.0000 0.1005 0.2500
Pu1 Pu 0.0000 0.3695 0.0557
Cu1 Cu 0.0000 0.1664 0.7500
N1 N 0.0000 0.0000 0.0000
N2 N 0.0000 0.2632 0.6076
N3 N 0.0000 0.4413 0.2500
# - ΔE_f (raw): -1.0304 eV per atom
# - Magnetization: 32.0 Bohr magnetons per cell
# - Crystal system: orthorhombic
# - D(E_F): 52.92 states/eV per cell

***

Record 2
# PBE OsSeCl3, optimized geometry
data_OsSeCl3
_cell_length_a 6.4913
_cell_length_b 11.7063
_cell_length_c 10.8581
_cell_angle_alpha 90.00
_cell_angle_beta 116.83
_cell_angle_gamma 90.00
_space_group_name_H-M_alt 'P 1 2/c 1'
_space_group_IT_number 13
_space_group_name_Hall '-P 2yc'
loop_
_atom_site_label
_atom_site_type_symbol
_atom_site_fract_x
_atom_site_fract_y
_atom_site_fract_z
Os1 Os 0.0226 0.2406 0.1377
Se1 Se 0.2027 0.0836 0.3197
Cl1 Cl 0.2020 0.1584 0.0161
Cl2 Cl 0.2137 0.4081 0.1823
Cl3 Cl 0.2999 0.3062 0.5434
# - ΔE_f (raw): -0.1453 eV per atom
# - Magnetization: 8.0 Bohr magnetons per cell
# - Crystal system: monoclinic
# - Energy above the lowest structure with this stoichiometry: 160 meV/atom
# - D(E_F): 7.88 states/eV per cell

***

Record 3
# PBE LaCeNdIn, optimized geometry
data_LaCeNdIn
_cell_length_a 7.8853
_cell_length_b 7.8853
_cell_length_c 7.8853
_cell_angle_alpha 90.00
_cell_angle_beta 90.00
_cell_angle_gamma 90.00
_space_group_name_H-M_alt 'F -4 3 m'
_space_group_IT_number 216
_space_group_name_Hall 'F -4 2 3'
loop_
_atom_site_label
_atom_site_type_symbol
_atom_site_fract_x
_atom_site_fract_y
_atom_site_fract_z
La1 La 0.0000 0.0000 0.0000
Ce1 Ce 0.2500 0.2500 0.7500
Nd1 Nd 0.0000 0.0000 0.5000
In1 In 0.2500 0.2500 0.2500
# - VASP energy: -74.970 eV per cell
# - Magnetization: 2.0 Bohr magnetons per cell
# - Crystal system: cubic
# - D(E_F): 33.84 states/eV per cell

***

Record 4
# PBE Nd4SmHoTm2, optimized geometry
data_Nd4SmHoTm2
_cell_length_a 6.2504
_cell_length_b 3.6202
_cell_length_c 11.8621
_cell_angle_alpha 90.00
_cell_angle_beta 100.18
_cell_angle_gamma 90.00
_space_group_name_H-M_alt 'P 1 2/m 1'
_space_group_IT_number 10
_space_group_name_Hall '-P 2y'
loop_
_atom_site_label
_atom_site_type_symbol
_atom_site_fract_x
_atom_site_fract_y
_atom_site_fract_z
Nd1 Nd 0.2485 0.0000 0.2471
Nd2 Nd 0.2496 0.5000 0.7501
Sm1 Sm 0.5000 0.5000 0.5000
Ho1 Ho 0.5000 0.0000 0.0000
Tm1 Tm 0.0000 0.0000 0.5000
Tm2 Tm 0.0000 0.5000 0.0000
# - VASP energy: -37.178 eV per cell
# - Magnetization: 0.0 Bohr magnetons per cell
# - Crystal system: monoclinic
# - D(E_F): 10.22 states/eV per cell

***

Record 5
# PBE BaTlAu2, optimized geometry
data_BaTlAu2
_cell_length_a 8.4733
_cell_length_b 4.8932
_cell_length_c 6.4217
_cell_angle_alpha 90.00
_cell_angle_beta 116.23
_cell_angle_gamma 90.00
_space_group_name_H-M_alt 'C 1 m 1'
_space_group_IT_number 8
_space_group_name_Hall 'C -2y'
loop_
_atom_site_label
_atom_site_type_symbol
_atom_site_fract_x
_atom_site_fract_y
_atom_site_fract_z
Ba1 Ba 0.0000 0.0000 0.0000
Tl1 Tl 0.2992 0.5000 0.3977
Au1 Au 0.0472 0.5000 0.6412
Au2 Au 0.2103 0.0000 0.6306
# - VASP energy: -25.195 eV per cell
# - Magnetization: 0.0 Bohr magnetons per cell
# - Crystal system: monoclinic
# - D(E_F): 3.59 states/eV per cell

***

Record 6
# PBE TlCd3Ru, optimized geometry
data_TlCd3Ru
_cell_length_a 5.2274
_cell_length_b 5.2274
_cell_length_c 5.2274
_cell_angle_alpha 90.00
_cell_angle_beta 90.00
_cell_angle_gamma 90.00
_space_group_name_H-M_alt 'P m -3 m'
_space_group_IT_number 221
_space_group_name_Hall '-P 4 2 3'
loop_
_atom_site_label
_atom_site_type_symbol
_atom_site_fract_x
_atom_site_fract_y
_atom_site_fract_z
Tl1 Tl 0.0000 0.0000 0.0000
Cd1 Cd 0.0000 0.5000 0.5000
Ru1 Ru 0.5000 0.5000 0.5000
# - Magnetization: 0.0 Bohr magnetons per cell
# - Crystal system: cubic
# - Energy above the lowest structure with this stoichiometry: 0 meV/atom
# - D(E_F): 1.98 states/eV per cell

***

Record 7
# PBE Li2AcIn2Au2, optimized geometry
data_Li2AcIn2Au2
_cell_length_a 4.7553
_cell_length_b 4.7553
_cell_length_c 26.5516
_cell_angle_alpha 90.00
_cell_angle_beta 90.00
_cell_angle_gamma 120.00
_space_group_name_H-M_alt 'R -3 m'
_space_group_IT_number 166
_space_group_name_Hall '-R 3 2"'
loop_
_atom_site_label
_atom_site_type_symbol
_atom_site_fract_x
_atom_site_fract_y
_atom_site_fract_z
Li1 Li 0.0000 0.0000 0.1320
Ac1 Ac 0.0000 0.0000 0.0000
In1 In 0.0000 0.0000 0.2435
Au1 Au 0.0000 0.0000 0.4099
# - VASP energy: -69.230 eV per cell
# - Magnetization: 0.0 Bohr magnetons per cell
# - Crystal system: trigonal
# - D(E_F): 16.23 states/eV per cell